1.
RbSi2Se2, optimized geometry, DFT PBE-GGA; space group = I4/mmm; distance to the lowest polymorph of the same formula = 0 meV per atom; uncorrected formation energy = -0.13 eV/atom; D(E_F) = 0.920 states/eV per cell
1.0
-3.076 3.560 1.766
-3.971 -2.833 -1.208
-3.378 -1.867 5.030
Si Se Rb
2 2 1
direct
0.661 0.661 0.678 Si
0.339 0.339 0.322 Si
0.250 0.750 0.500 Se
0.750 0.250 0.500 Se
0.000 0.000 0.000 Rb

2.
RbSi3Se, optimized geometry, DFT PBE-GGA; space group = Pm-3m; distance to the lowest polymorph of the same formula = 1489 meV per atom; uncorrected formation energy = 2.34 eV/atom; D(E_F) = 5.847 states/eV per cell
1.0
-2.156 -0.746 5.158
4.501 -3.081 1.435
2.628 4.664 1.773
Si Se Rb
3 1 1
direct
0.000 0.000 0.500 Si
0.500 0.000 0.000 Si
0.000 0.500 0.000 Si
0.500 0.500 0.500 Se
0.000 0.000 0.000 Rb

3.
RbSmSiSe4, optimized geometry, DFT PBE-GGA; space group = P2_1/m; uncorrected formation energy = -1.24 eV/atom; D(E_F) = 0.000 states/eV per cell
1.0
6.765 0.000 -0.106
0.000 7.009 0.000
-2.793 0.000 9.074
Rb Se Sm Si
2 8 2 2
direct
0.740 0.750 0.937 Rb
0.260 0.250 0.063 Rb
0.587 0.250 0.826 Se
0.992 0.004 0.290 Se
0.583 0.250 0.429 Se
0.008 0.996 0.710 Se
0.417 0.750 0.571 Se
0.008 0.504 0.710 Se
0.413 0.750 0.174 Se
0.992 0.496 0.290 Se
0.229 0.250 0.550 Sm
0.771 0.750 0.450 Sm
0.783 0.250 0.671 Si
0.217 0.750 0.329 Si

4.
Rb2SiSnSe4, optimized geometry, DFT PBE-GGA; space group = C2/c; uncorrected formation energy = -0.51 eV/atom; D(E_F) = 0.442 states/eV per cell
1.0
-4.465 5.591 -4.948
3.427 -3.470 -7.204
-4.631 -5.427 5.599
Se Si Rb Sn
8 2 4 2
direct
0.832 0.228 0.048 Se
0.728 0.332 0.548 Se
0.688 0.671 0.477 Se
0.168 0.772 0.952 Se
0.272 0.668 0.452 Se
0.312 0.329 0.523 Se
0.171 0.188 0.977 Se
0.829 0.812 0.023 Se
0.500 0.500 0.500 Si
0.000 0.000 0.000 Si
0.500 0.000 0.500 Rb
0.500 0.500 0.000 Rb
0.500 0.000 0.000 Rb
0.000 0.000 0.500 Rb
0.000 0.500 0.000 Sn
0.000 0.500 0.500 Sn

5.
Rb2SrSiSe4, optimized geometry, DFT PBE-GGA; space group = C2/c; uncorrected formation energy = -0.88 eV/atom; D(E_F) = 1.955 states/eV per cell
1.0
8.751 0.087 0.153
0.081 8.751 0.153
-4.192 -4.195 7.084
Se Sr Si Rb
8 2 2 4
direct
0.166 0.770 0.940 Se
0.157 0.168 0.947 Se
0.270 0.666 0.440 Se
0.668 0.657 0.447 Se
0.730 0.334 0.560 Se
0.834 0.230 0.060 Se
0.843 0.832 0.053 Se
0.332 0.343 0.553 Se
0.000 0.500 0.500 Sr
0.000 0.500 0.000 Sr
0.000 0.000 0.000 Si
0.500 0.500 0.500 Si
0.500 0.000 0.000 Rb
0.500 0.500 0.000 Rb
0.500 0.000 0.500 Rb
0.000 0.000 0.500 Rb

6.
RbTaSi2Se8, optimized geometry, DFT PBE-GGA; space group = P-3; uncorrected formation energy = -0.43 eV/atom; D(E_F) = 10.521 states/eV per cell
1.0
6.465 0.000 0.000
-3.233 5.599 0.000
0.000 0.000 9.101
Se Si Ta Rb
8 2 1 1
direct
0.667 0.333 0.025 Se
0.984 0.326 0.655 Se
0.658 0.984 0.345 Se
0.326 0.342 0.345 Se
0.016 0.674 0.345 Se
0.674 0.658 0.655 Se
0.333 0.667 0.975 Se
0.342 0.016 0.655 Se
0.667 0.333 0.273 Si
0.333 0.667 0.727 Si
0.000 0.000 0.500 Ta
0.000 0.000 0.000 Rb

7.
RbTaSiSe6, optimized geometry, DFT PBE-GGA; space group = P312; uncorrected formation energy = -0.47 eV/atom; D(E_F) = 4.395 states/eV per cell
1.0
6.265 0.001 0.000
3.133 5.425 0.000
0.000 -0.001 8.456
Se Si Rb Ta
6 1 1 1
direct
0.353 0.011 0.678 Se
0.353 0.636 0.322 Se
0.011 0.353 0.322 Se
0.011 0.636 0.678 Se
0.636 0.353 0.678 Se
0.636 0.011 0.322 Se
0.333 0.333 0.500 Si
0.000 0.000 0.000 Rb
0.667 0.667 0.500 Ta

8.
RbTbSiSe4, optimized geometry, DFT PBE-GGA; space group = P2_1/m; uncorrected formation energy = -1.23 eV/atom; D(E_F) = 0.000 states/eV per cell
1.0
6.697 0.000 -0.119
0.000 7.005 0.000
-2.783 0.000 9.043
Rb Se Tb Si
2 8 2 2
direct
0.743 0.750 0.939 Rb
0.257 0.250 0.061 Rb
0.427 0.750 0.574 Se
0.573 0.250 0.426 Se
0.009 0.504 0.706 Se
0.991 0.496 0.294 Se
0.417 0.750 0.176 Se
0.991 0.004 0.294 Se
0.583 0.250 0.824 Se
0.009 0.996 0.706 Se
0.772 0.750 0.451 Tb
0.228 0.250 0.549 Tb
0.780 0.250 0.667 Si
0.220 0.750 0.333 Si

9.
Rb2TiSiSe4, optimized geometry, DFT PBE-GGA; space group = Fddd; uncorrected formation energy = -0.93 eV/atom
1.0
-2.194 4.923 4.053
-6.926 -1.059 3.147
4.084 -3.081 11.564
Ti Rb Se Si
2 4 8 2
direct
0.000 0.000 0.000 Ti
0.750 0.500 0.500 Ti
0.571 0.500 0.858 Rb
0.821 0.000 0.358 Rb
0.929 0.500 0.142 Rb
0.179 0.000 0.642 Rb
0.281 0.815 0.103 Se
0.199 0.185 0.897 Se
0.551 0.315 0.603 Se
0.904 0.815 0.897 Se
0.134 0.315 0.397 Se
0.616 0.185 0.103 Se
0.469 0.685 0.397 Se
0.846 0.685 0.603 Se
0.500 0.000 0.000 Si
0.250 0.500 0.500 Si

10.
RbTl2SiSe4, optimized geometry, DFT PBE-GGA; space group = Imma; uncorrected formation energy = -0.32 eV/atom; D(E_F) = 6.938 states/eV per cell
1.0
8.869 1.201 -0.579
1.195 8.870 -0.579
-5.397 -5.401 7.696
Tl Se Rb Si
4 8 2 2
direct
0.500 0.000 0.000 Tl
0.500 0.500 0.000 Tl
0.000 0.000 0.500 Tl
0.500 0.000 0.500 Tl
0.000 0.000 0.785 Se
0.000 0.000 0.215 Se
0.500 0.500 0.715 Se
0.500 0.500 0.285 Se
0.772 0.201 0.986 Se
0.228 0.799 0.014 Se
0.299 0.728 0.514 Se
0.701 0.272 0.486 Se
0.000 0.500 0.000 Rb
0.000 0.500 0.500 Rb
0.000 0.000 0.000 Si
0.500 0.500 0.500 Si

11.
Rb2TlSiSe4, optimized geometry, DFT PBE-GGA; space group = C2/c; uncorrected formation energy = -0.46 eV/atom; D(E_F) = 10.324 states/eV per cell
1.0
8.844 0.082 0.132
0.076 8.844 0.132
-4.247 -4.250 7.085
Se Tl Rb Si
8 2 4 2
direct
0.160 0.168 0.954 Se
0.708 0.332 0.539 Se
0.168 0.792 0.961 Se
0.668 0.660 0.454 Se
0.292 0.668 0.461 Se
0.332 0.340 0.546 Se
0.832 0.208 0.039 Se
0.840 0.832 0.046 Se
0.000 0.500 0.000 Tl
0.000 0.500 0.500 Tl
0.000 0.000 0.500 Rb
0.500 0.000 0.000 Rb
0.500 0.500 0.000 Rb
0.500 0.000 0.500 Rb
0.500 0.500 0.500 Si
0.000 0.000 0.000 Si

12.
Rb2VSiSe4, optimized geometry, DFT PBE-GGA; space group = Fddd; uncorrected formation energy = -0.76 eV/atom; D(E_F) = 7.838 states/eV per cell
1.0
6.645 0.000 0.000
3.322 6.877 0.000
3.322 0.000 12.096
Rb Se Si V
4 8 2 2
direct
0.821 0.000 0.358 Rb
0.179 0.000 0.642 Rb
0.929 0.500 0.142 Rb
0.571 0.500 0.858 Rb
0.137 0.318 0.399 Se
0.464 0.682 0.399 Se
0.613 0.182 0.101 Se
0.205 0.182 0.899 Se
0.854 0.682 0.601 Se
0.896 0.818 0.899 Se
0.545 0.318 0.601 Se
0.286 0.818 0.101 Se
0.250 0.500 0.500 Si
0.500 0.000 0.000 Si
0.750 0.500 0.500 V
0.000 0.000 0.000 V

- Which formula does entry 5 have?
  Rb2SrSiSe4